*i*
Compound: CrGa3H
Source: Alexandria
Functional: PBE
Structure: optimized geometry

Lattice parameters (Å, degrees): 4.8108 4.8108 4.8108 90.00 90.00 90.00
With the nearest neighbours (Å) after each atom.
Sites, in units of the cell vectors:
Cr 0.0000 0.0000 0.0000  6 Ga 2.41
Ga 0.0000 0.5000 0.0000  2 Cr 2.41
Ga 0.0000 0.0000 0.5000  2 Cr 2.41
Ga 0.5000 0.0000 0.0000  2 Cr 2.41
H 0.5000 0.5000 0.5000  12 Ga 3.40

Output
Its magnetization is 3.5 μB/cell.

***

*ii*
Compound: CrGa3H
Source: Alexandria
Functional: PBE
Structure: optimized geometry

Lattice parameters (Å, degrees): 4.0262 4.0262 4.0262 90.00 90.00 90.00
With the nearest neighbours (Å) after each atom.
Sites, in units of the cell vectors:
Cr 0.5000 0.5000 0.5000  12 Ga 2.85
Ga 0.0000 0.5000 0.0000  2 H 2.01
Ga 0.0000 0.0000 0.5000  2 H 2.01
Ga 0.5000 0.0000 0.0000  2 H 2.01
H 0.0000 0.0000 0.0000  6 Ga 2.01

Output
Its magnetization is 2.2 μB/cell.

***

Energies, relative to the best one, in meV per atom: *i* 463; *ii* 0.